The following is a DFT calculation (PBE-GGA) of a relaxed structure of SmZnNO.

**Fermi-level density of states**: 0.000 states/eV per cell
**Raw total energy**: -51.186 eV for the cell shown
**ΔE_f (raw)**: -1.5791 eV per atom

Lattice parameters (Å, degrees): 3.544 3.544 10.715 90.00 90.00 120.00
Fractional coordinates of all 8 atoms:
O 0.000 0.000 0.492
O 0.000 0.000 0.992
N 0.667 0.333 0.754
N 0.333 0.667 0.254
Sm 0.667 0.333 0.390
Sm 0.333 0.667 0.890
Zn 0.000 0.000 0.676
Zn 0.000 0.000 0.176



The following is a DFT calculation (PBE-GGA) of a relaxed structure of Ho7Er3Th.

**ΔE to the lowest computed polymorph**: 0.00 eV/f.u.
**Fermi-level density of states**: 35.244 states/eV per cell
**Raw total energy**: -102.835 eV for the cell shown
**Energy of formation**: 0.158 eV per atom

Lattice parameters (Å, degrees): 9.818 9.818 13.114 79.19 79.19 138.98
Fractional coordinates of all 22 atoms:
Ho 0.558 0.882 0.529
Ho 0.882 0.558 0.529
Ho 0.912 0.087 0.750
Ho 0.118 0.442 0.471
Ho 0.882 0.558 0.029
Ho 0.501 0.501 0.250
Ho 0.087 0.912 0.750
Ho 0.088 0.913 0.250
Ho 0.118 0.442 0.971
Ho 0.442 0.118 0.471
Ho 0.913 0.088 0.250
Ho 0.442 0.118 0.971
Ho 0.499 0.499 0.750
Ho 0.558 0.882 0.029
Er 0.501 0.000 0.250
Er 0.000 0.000 0.000
Er 0.000 0.000 0.500
Er 0.000 0.499 0.750
Er 0.499 0.000 0.750
Er 0.000 0.501 0.250
Th 0.500 0.500 0.500
Th 0.500 0.500 0.000



The following is a DFT calculation (PBE-GGA) of a relaxed structure of RhS2Br2.

**Fermi-level density of states**: 3.947 states/eV per cell
**Raw total energy**: -38.738 eV for the cell shown
**ΔE_f (raw)**: -0.0834 eV per atom

Lattice parameters (Å, degrees): 8.069 7.407 6.572 79.78 52.12 73.19
Fractional coordinates of all 10 atoms:
Br 0.756 0.252 0.633
Br 0.610 0.748 0.633
Br 0.244 0.748 0.367
Br 0.390 0.252 0.367
S 0.111 0.254 0.000
S 0.889 0.746 0.000
S 0.751 0.561 0.000
S 0.249 0.439 0.000
Rh 0.148 0.500 0.703
Rh 0.852 0.500 0.297



The following is a DFT calculation (PBE-GGA) of a relaxed structure of SbSe.

**Fermi-level density of states**: 0.791 states/eV per cell
**Raw total energy**: -7.395 eV for the cell shown
**ΔE_f (raw)**: 0.1058 eV per atom

Lattice parameters (Å, degrees): 3.617 3.617 3.617 90.00 90.00 90.00
Fractional coordinates of all 2 atoms:
Sb 0.000 0.000 0.000
Se 0.500 0.500 0.500



The following is a DFT calculation (PBE-GGA) of a relaxed structure of Ac2FeC2N6.

**Fermi-level density of states**: 3.017 states/eV per cell
**Raw total energy**: -88.688 eV for the cell shown
**ΔE_f (raw)**: -0.3280 eV per atom

Lattice parameters (Å, degrees): 5.261 5.261 5.681 90.00 90.00 120.00
Fractional coordinates of all 11 atoms:
Ac 0.667 0.333 0.703
Ac 0.333 0.667 0.297
Fe 0.000 0.000 0.000
C 0.667 0.333 0.193
C 0.333 0.667 0.807
N 0.817 0.182 0.212
N 0.365 0.183 0.212
N 0.183 0.818 0.788
N 0.818 0.635 0.212
N 0.635 0.817 0.788
N 0.182 0.365 0.788



The following is a DFT calculation (PBE-GGA) of a relaxed structure of AcCe2Pa.

**ΔE to the lowest computed polymorph**: 0.00 eV/f.u.
**Fermi-level density of states**: 12.078 states/eV per cell
**Raw total energy**: -24.619 eV for the cell shown
**Energy of formation**: 0.213 eV per atom

Lattice parameters (Å, degrees): 4.098 4.098 7.263 90.00 90.00 90.00
Fractional coordinates of all 4 atoms:
Ac 0.500 0.500 0.500
Ce 0.000 0.000 0.189
Ce 0.000 0.000 0.811
Pa 0.500 0.500 0.000



The following is a DFT calculation (PBE-GGA) of a relaxed structure of MgPPt.

**Fermi-level density of states**: 2.136 states/eV per cell
**Raw total energy**: -14.067 eV for the cell shown
**Energy of formation**: -0.341 eV per atom

Lattice parameters (Å, degrees): 3.379 3.379 5.486 90.00 90.00 120.00
Fractional coordinates of all 3 atoms:
Pt 0.667 0.333 0.619
P 0.333 0.667 0.381
Mg 0.000 0.000 0.000



The following is a DFT calculation (PBE-GGA) of a relaxed structure of EuSiPt2.

**Fermi-level density of states**: 5.444 states/eV per cell
**Raw total energy**: -62.916 eV for the cell shown
**ΔE_f (raw)**: -0.9197 eV per atom

Lattice parameters (Å, degrees): 3.984 5.683 7.075 90.00 90.00 110.53
Fractional coordinates of all 8 atoms:
Pt 0.345 0.691 0.554
Pt 0.655 0.309 0.054
Pt 0.655 0.309 0.446
Pt 0.345 0.691 0.946
Eu 0.054 0.107 0.750
Eu 0.946 0.893 0.250
Si 0.227 0.455 0.250
Si 0.773 0.545 0.750



The following is a DFT calculation (PBE-GGA) of a relaxed structure of Li6Cd3Pb2.

**Fermi-level density of states**: 3.823 states/eV per cell
**Raw total energy**: -24.062 eV for the cell shown
**Energy of formation**: -0.220 eV per atom

Lattice parameters (Å, degrees): 3.052 11.933 7.602 125.69 90.00 90.00
Fractional coordinates of all 11 atoms:
Li 0.500 0.838 0.519
Li 0.500 0.362 0.934
Li 0.500 0.307 0.242
Li 0.500 0.638 0.066
Li 0.500 0.693 0.758
Li 0.500 0.162 0.481
Cd 0.000 0.889 0.228
Cd 0.500 0.000 0.000
Cd 0.000 0.111 0.772
Pb 0.000 0.567 0.336
Pb 0.000 0.433 0.664



The following is a DFT calculation (PBE-GGA) of a relaxed structure of Rb2SnBSe4.

**Fermi-level density of states**: 11.256 states/eV per cell
**Raw total energy**: -62.023 eV for the cell shown
**ΔE_f (raw)**: -0.5573 eV per atom

Lattice parameters (Å, degrees): 6.364 7.801 12.755 84.16 75.55 65.93
Fractional coordinates of all 16 atoms:
Se 0.395 0.677 0.400
Se 0.544 0.177 0.100
Se 0.279 0.177 0.900
Se 0.355 0.823 0.100
Se 0.471 0.323 0.600
Se 0.929 0.677 0.600
Se 0.206 0.323 0.400
Se 0.821 0.823 0.900
Rb 0.819 0.000 0.363
Rb 0.931 0.500 0.137
Rb 0.181 0.000 0.637
Rb 0.569 0.500 0.863
Sn 0.000 0.000 0.000
Sn 0.750 0.500 0.500
B 0.500 0.000 0.000
B 0.250 0.500 0.500



The following is a DFT calculation (PBE-GGA) of a relaxed structure of SrZnHg2.

**Fermi-level density of states**: 2.087 states/eV per cell
**Raw total energy**: -4.562 eV for the cell shown
**Energy of formation**: -0.251 eV per atom

Lattice parameters (Å, degrees): 8.220 4.785 4.741 89.68 55.22 125.20
Fractional coordinates of all 4 atoms:
Hg 0.500 0.000 0.500
Hg 0.000 0.000 0.000
Zn 0.500 0.500 0.000
Sr 0.000 0.500 0.500



The following is a DFT calculation (PBE-GGA) of a relaxed structure of NaCrAs2.

**ΔE to the lowest computed polymorph**: 0.96 eV/f.u.
**Fermi-level density of states**: 1.915 states/eV per cell
**Raw total energy**: -40.044 eV for the cell shown
**Energy of formation**: 0.055 eV per atom

Lattice parameters (Å, degrees): 6.300 6.300 7.205 64.07 64.07 90.00
Fractional coordinates of all 8 atoms:
As 0.018 0.625 0.250
As 0.875 0.982 0.750
As 0.375 0.268 0.750
As 0.732 0.125 0.250
Cr 0.000 0.000 0.000
Cr 0.750 0.250 0.500
Na 0.250 0.750 0.500
Na 0.500 0.500 0.000



Computed theoretical density (Mg/m³) in order:
7.0, 9.0, 3.7, 7.0, 7.5, 10.1, 7.7, 12.6, 5.9, 3.7, 8.5, 3.3